1.
An optimized crystal structure of Pr4Ni3Sn, computed with PBE. Values from VASP.

```
&SYSTEM
  ibrav = 0, nat = 8, ntyp = 3
/
ATOMIC_SPECIES
Pr 140.91 Pr.upf
Ni 58.69 Ni.upf
Sn 118.71 Sn.upf
ATOMIC_POSITIONS crystal
Pr 0.500 0.500 0.377
Pr 0.000 0.500 0.839
Pr 0.000 0.000 0.153
Pr 0.500 0.000 0.639
Ni 0.000 0.500 0.564
Ni 0.000 0.000 0.446
Ni 0.500 0.000 0.915
Sn 0.500 0.500 0.066
CELL_PARAMETERS angstrom
4.194 0.000 0.000
0.000 4.421 0.000
0.000 0.000 10.659
```

2.
An optimized crystal structure of PrNi3Sn5, computed with PBE. Values from VASP.

```
&SYSTEM
  ibrav = 0, nat = 18, ntyp = 3
/
ATOMIC_SPECIES
Pr 140.91 Pr.upf
Ni 58.69 Ni.upf
Sn 118.71 Sn.upf
ATOMIC_POSITIONS crystal
Pr 0.122 0.122 0.677
Pr 0.878 0.878 0.323
Ni 0.677 0.677 0.833
Ni 0.634 0.634 0.348
Ni 0.000 0.000 0.000
Ni 0.000 0.000 0.500
Ni 0.323 0.323 0.167
Ni 0.366 0.366 0.652
Sn 0.935 0.358 0.314
Sn 0.296 0.704 0.000
Sn 0.772 0.772 0.027
Sn 0.419 0.419 0.354
Sn 0.581 0.581 0.646
Sn 0.228 0.228 0.973
Sn 0.358 0.935 0.314
Sn 0.704 0.296 0.000
Sn 0.065 0.642 0.686
Sn 0.642 0.065 0.686
CELL_PARAMETERS angstrom
-3.615 -5.280 -3.631
2.310 -6.535 2.467
-6.342 -4.274 5.282
```

3.
An optimized crystal structure of Pr3Ni2Sn2, computed with PBE. Values from VASP.

```
&SYSTEM
  ibrav = 0, nat = 7, ntyp = 3
/
ATOMIC_SPECIES
Pr 140.91 Pr.upf
Ni 58.69 Ni.upf
Sn 118.71 Sn.upf
ATOMIC_POSITIONS crystal
Pr 0.000 0.000 0.000
Pr 0.674 0.174 0.348
Pr 0.326 0.826 0.652
Ni 0.565 0.565 0.129
Ni 0.435 0.435 0.871
Sn 0.140 0.640 0.281
Sn 0.860 0.360 0.719
CELL_PARAMETERS angstrom
4.530 0.000 0.000
0.000 4.418 0.000
-2.265 -2.209 9.104
```

4.
An optimized crystal structure of PrNi12Sn6, computed with PBE. Values from VASP.

```
&SYSTEM
  ibrav = 0, nat = 19, ntyp = 3
/
ATOMIC_SPECIES
Pr 140.91 Pr.upf
Ni 58.69 Ni.upf
Sn 118.71 Sn.upf
ATOMIC_POSITIONS crystal
Pr 0.000 0.000 0.000
Ni 0.890 0.110 0.500
Ni 0.883 0.639 0.639
Ni 0.639 0.639 0.883
Ni 0.361 0.117 0.361
Ni 0.361 0.361 0.117
Ni 0.117 0.361 0.361
Ni 0.110 0.500 0.890
Ni 0.500 0.890 0.110
Ni 0.110 0.890 0.500
Ni 0.890 0.500 0.110
Ni 0.500 0.110 0.890
Ni 0.639 0.883 0.639
Sn 0.698 0.274 0.274
Sn 0.274 0.274 0.698
Sn 0.274 0.698 0.274
Sn 0.726 0.726 0.302
Sn 0.302 0.726 0.726
Sn 0.726 0.302 0.726
CELL_PARAMETERS angstrom
7.005 0.065 0.091
-1.674 6.802 0.091
-1.674 -2.156 6.452
```

5.
An optimized crystal structure of Pr2Ni5Sn3, computed with PBE. Values from VASP.

```
&SYSTEM
  ibrav = 0, nat = 20, ntyp = 3
/
ATOMIC_SPECIES
Pr 140.91 Pr.upf
Ni 58.69 Ni.upf
Sn 118.71 Sn.upf
ATOMIC_POSITIONS crystal
Pr 0.124 0.610 0.141
Pr 0.624 0.141 0.610
Pr 0.876 0.390 0.859
Pr 0.376 0.859 0.390
Ni 0.377 0.265 0.981
Ni 0.877 0.981 0.265
Ni 0.623 0.735 0.019
Ni 0.123 0.019 0.735
Ni 0.472 0.778 0.778
Ni 0.528 0.222 0.222
Ni 0.750 0.500 0.500
Ni 0.250 0.500 0.500
Ni 0.028 0.222 0.222
Ni 0.972 0.778 0.778
Sn 0.362 0.527 0.749
Sn 0.862 0.749 0.527
Sn 0.638 0.473 0.251
Sn 0.138 0.251 0.473
Sn 0.250 0.000 0.000
Sn 0.750 0.000 0.000
CELL_PARAMETERS angstrom
6.195 0.000 0.000
3.098 7.938 0.102
3.098 1.325 7.827
```

6.
An optimized crystal structure of PrNi3Sn, computed with PBE. Values from VASP.

```
&SYSTEM
  ibrav = 0, nat = 10, ntyp = 3
/
ATOMIC_SPECIES
Pr 140.91 Pr.upf
Ni 58.69 Ni.upf
Sn 118.71 Sn.upf
ATOMIC_POSITIONS crystal
Pr 0.500 0.000 0.000
Pr 0.500 0.500 0.500
Ni 0.500 0.500 0.000
Ni 0.500 0.000 0.500
Ni 0.000 0.666 0.484
Ni 0.000 0.166 0.016
Ni 0.000 0.334 0.516
Ni 0.000 0.834 0.984
Sn 0.000 0.500 0.000
Sn 0.000 0.000 0.500
CELL_PARAMETERS angstrom
-3.793 -1.687 3.071
1.825 -6.911 -1.542
3.199 -0.032 3.933
```

7.
An optimized crystal structure of PrNiSn2, computed with PBE. Values from VASP.

```
&SYSTEM
  ibrav = 0, nat = 4, ntyp = 3
/
ATOMIC_SPECIES
Pr 140.91 Pr.upf
Ni 58.69 Ni.upf
Sn 118.71 Sn.upf
ATOMIC_POSITIONS crystal
Pr 0.000 0.000 0.000
Ni 0.500 0.500 0.500
Sn 0.108 0.108 0.675
Sn 0.892 0.892 0.325
CELL_PARAMETERS angstrom
-2.587 -0.606 -2.200
-0.036 -2.903 -1.862
-5.991 -5.778 5.931
```

8.
! Pr3Ni2Sn4, relaxed, DFT PBE; values from VASP
! Polymorph energy (0 for the lowest one): 1.05 kcal/mol of atoms
&SYSTEM
  ibrav = 0, nat = 9, ntyp = 3
/
ATOMIC_SPECIES
Pr 140.91 Pr.upf
Ni 58.69 Ni.upf
Sn 118.71 Sn.upf
ATOMIC_POSITIONS crystal
Pr 0.653 0.306 0.659
Pr 0.000 0.000 0.000
Pr 0.347 0.694 0.341
Ni 0.595 0.190 0.280
Ni 0.405 0.810 0.720
Sn 0.720 0.439 0.083
Sn 0.280 0.561 0.917
Sn 0.930 0.859 0.618
Sn 0.070 0.141 0.382
CELL_PARAMETERS angstrom
4.603 0.000 0.000
-2.301 5.664 -1.352
0.000 0.114 8.822

| no. | total DFT energy (no corrections) (eV/atom) | calculated formation energy (eV per atom) | volume (A^3/atom) |
| --- | --- | --- | --- |
| 1 | -5.4207 | -0.3626 | 24.70 |
| 2 | -4.8794 | -0.1974 | 23.33 |
| 3 | -5.3760 | -0.5322 | 26.03 |
| 4 | -5.2344 | -0.0675 | 16.36 |
| 5 | -5.4498 | -0.4024 | 19.21 |
| 6 | -5.1994 | 0.0259 | 19.14 |
| 7 | -4.5899 | 0.0517 | 25.82 |
| 8 | -5.2569 | -0.5999 | 25.64 |